DFT (GGA+U) results for CoPbSO after structural relaxation.

Structure (CIF):
```
data_CoPbSO
_chemical_formula_sum 'Co4 Pb4 S4 O4'
_space_group_name_H-M_alt 'P n m a'
_space_group_IT_number 62
_space_group_name_Hall '-P 2ac 2n'
_cell_length_a 5.971
_cell_length_b 3.413
_cell_length_c 15.380
_cell_angle_alpha 90.00
_cell_angle_beta 90.00
_cell_angle_gamma 90.00
loop_
_atom_site_label
_atom_site_type_symbol
_atom_site_fract_x
_atom_site_fract_y
_atom_site_fract_z
Co1 Co 0.210 0.250 0.068
Pb1 Pb 0.142 0.750 0.321
S1 S 0.194 0.750 0.941
O1 O 0.207 0.250 0.630
```

Computed properties:
E = -4.97 eV/atom